## Li2VF5 (PBE with a Hubbard U)

Data for an optimized crystal structure of Li2VF5.

```
data_Li2VF5
_symmetry_space_group_name_H-M 'P 1 c 1'
_symmetry_Int_Tables_number 7
_symmetry_space_group_name_Hall 'P -2yc'
_cell_length_a 7.351
_cell_length_b 7.040
_cell_length_c 7.901
_cell_angle_alpha 90.00
_cell_angle_beta 90.55
_cell_angle_gamma 90.00
loop_
_atom_site_label
_atom_site_fract_x
_atom_site_fract_y
_atom_site_fract_z
Li1 0.000 0.006 0.000
Li2 0.278 0.260 0.213
Li3 0.487 0.484 0.529
Li4 0.736 0.200 0.728
V1 0.482 0.009 0.429
V2 0.991 0.483 0.634
F1 0.027 0.240 0.119
F2 0.224 0.053 0.392
F3 0.258 0.473 0.649
F4 0.439 0.247 0.003
F5 0.495 0.277 0.368
F6 0.502 0.086 0.680
F7 0.721 0.457 0.638
F8 0.745 0.032 0.926
F9 0.976 0.203 0.657
F10 0.989 0.471 0.384
```

Properties
Its raw total energy is -174.92 eV/cell. Its spin magnetization is 8.0 μB per cell. Its crystal system is monoclinic.